1.
Compound: MgZn2Os
Source: Alexandria
Functional: PBE-GGA
Structure: optimized geometry

abc: 2.700 4.143 5.434
angles: 90.00 90.00 90.00
Fractional coordinates of all 4 atoms:
1 Zn 0.000 0.000 0.990
2 Zn 0.500 0.500 0.246
3 Os 0.500 0.500 0.752
4 Mg 0.000 0.000 0.511

Values from the calculation:
Symmetry: Pmm2, No. 25
DFT formation energy in meV per atom: 137
Total energy in eV for the cell shown: -14.8


2.
Compound: MgZnOs
Source: Alexandria
Functional: PBE-GGA
Structure: optimized geometry

abc: 5.082 5.082 5.082
angles: 143.49 143.49 52.60
Fractional coordinates of all 3 atoms:
1 Mg 0.996 0.996 0.000
2 Os 0.321 0.321 0.000
3 Zn 0.683 0.683 0.000

Values from the calculation:
Relative energy among the computed polymorphs in meV per atom: 100.5
Symmetry: I4mm, No. 107
DFT formation energy in meV per atom: 221
Total energy in eV for the cell shown: -13.4


3.
Compound: MgZnOs2
Source: Alexandria
Functional: PBE-GGA
Structure: optimized geometry

abc: 4.979 4.979 4.979
angles: 135.46 135.46 64.82
Fractional coordinates of all 4 atoms:
1 Mg 0.750 0.250 0.500
2 Os 0.000 0.000 0.000
3 Os 0.500 0.500 0.000
4 Zn 0.250 0.750 0.500

Values from the calculation:
Symmetry: I4/mmm, No. 139
DFT formation energy in meV per atom: 377
Total energy in eV for the cell shown: -23.8


4.
Compound: MgZn2Os
Source: Alexandria
Functional: PBE-GGA
Structure: optimized geometry

abc: 4.290 2.711 5.356
angles: 74.92 90.00 90.00
Fractional coordinates of all 4 atoms:
1 Zn 0.500 0.059 0.251
2 Zn 0.000 0.198 0.987
3 Mg 0.000 0.438 0.494
4 Os 0.500 0.805 0.768

Values from the calculation:
Symmetry: Pm, No. 6
DFT formation energy in meV per atom: 102
Total energy in eV for the cell shown: -15.0


5.
Compound: MgZnOs2
Source: Alexandria
Functional: PBE-GGA
Structure: optimized geometry

abc: 9.290 9.290 9.290
angles: 17.31 17.31 17.31
Fractional coordinates of all 4 atoms:
1 Os 0.995 0.995 0.995
2 Os 0.253 0.253 0.253
3 Zn 0.505 0.505 0.505
4 Mg 0.746 0.746 0.746

Values from the calculation:
Symmetry: R3m, No. 160
DFT formation energy in meV per atom: 180
Total energy in eV for the cell shown: -24.6


6.
Compound: MgZnOs
Source: Alexandria
Functional: PBE-GGA
Structure: optimized geometry

abc: 6.992 6.805 2.738
angles: 82.42 74.74 22.84
Fractional coordinates of all 3 atoms:
1 Os 0.331 0.331 0.669
2 Mg 0.996 0.996 0.004
3 Zn 0.672 0.672 0.328

Values from the calculation:
Relative energy among the computed polymorphs in meV per atom: 136.0
Symmetry: Fmm2, No. 42
DFT formation energy in meV per atom: 256
Total energy in eV for the cell shown: -13.3


7.
Compound: MgZn2Os
Source: Alexandria
Functional: PBE-GGA
Structure: optimized geometry

abc: 3.497 4.127 4.101
angles: 90.00 90.00 90.00
Fractional coordinates of all 4 atoms:
1 Zn 0.500 0.500 0.000
2 Zn 0.000 0.000 0.000
3 Mg 0.500 0.000 0.500
4 Os 0.000 0.500 0.500

Values from the calculation:
Symmetry: Pmmm, No. 47
DFT formation energy in meV per atom: 111
Total energy in eV for the cell shown: -14.9


8.
Compound: MgZnOs2
Source: Alexandria
Functional: PBE-GGA
Structure: optimized geometry

abc: 4.713 4.713 4.793
angles: 82.02 82.02 34.68
Fractional coordinates of all 4 atoms:
1 Os 0.746 0.746 0.777
2 Os 0.009 0.009 0.967
3 Mg 0.251 0.251 0.269
4 Zn 0.494 0.494 0.486

Values from the calculation:
Symmetry: Cm, No. 8
DFT formation energy in meV per atom: 222
Total energy in eV for the cell shown: -24.4


9.
Compound: MgZnOs2
Source: Alexandria
Functional: PBE-GGA
Structure: optimized geometry

abc: 8.977 8.977 8.977
angles: 17.83 17.83 17.83
Fractional coordinates of all 4 atoms:
1 Zn 0.250 0.250 0.250
2 Mg 0.750 0.750 0.750
3 Os 0.997 0.997 0.997
4 Os 0.503 0.503 0.503

Values from the calculation:
Symmetry: R-3m, No. 166
DFT formation energy in meV per atom: 242
Total energy in eV for the cell shown: -24.4


10.
Compound: MgZnOs
Source: Alexandria
Functional: PBE-GGA
Structure: optimized geometry

abc: 6.481 6.481 6.481
angles: 155.39 155.39 35.08
Fractional coordinates of all 3 atoms:
1 Os 0.330 0.330 0.000
2 Zn 0.677 0.677 0.000
3 Mg 0.994 0.994 0.000

Values from the calculation:
Relative energy among the computed polymorphs in meV per atom: 137.6
Symmetry: I4mm, No. 107
DFT formation energy in meV per atom: 258
Total energy in eV for the cell shown: -13.3


11.
Compound: MgZn2Os
Source: Alexandria
Functional: PBE-GGA
Structure: optimized geometry

abc: 4.392 4.392 4.392
angles: 60.00 60.00 60.00
Fractional coordinates of all 4 atoms:
1 Zn 0.000 0.000 0.000
2 Zn 0.250 0.250 0.250
3 Mg 0.500 0.500 0.500
4 Os 0.750 0.750 0.750

Values from the calculation:
Symmetry: F-43m, No. 216
DFT formation energy in meV per atom: 204
Total energy in eV for the cell shown: -14.6


12.
Compound: MgZnOs
Source: Alexandria
Functional: PBE-GGA
Structure: optimized geometry

abc: 4.444 4.444 2.660
angles: 90.00 90.00 120.00
Fractional coordinates of all 3 atoms:
1 Mg 0.000 0.000 0.960
2 Os 0.667 0.333 0.385
3 Zn 0.333 0.667 0.656

Values from the calculation:
Relative energy among the computed polymorphs in meV per atom: 20.7
Symmetry: P3m1, No. 156
DFT formation energy in meV per atom: 141
Total energy in eV for the cell shown: -13.7


13.
Compound: MgZn4Os
Source: Alexandria
Functional: PBE-GGA
Structure: optimized geometry

abc: 4.981 4.981 4.981
angles: 60.00 60.00 60.00
Fractional coordinates of all 6 atoms:
1 Zn 0.374 0.878 0.374
2 Zn 0.374 0.374 0.374
3 Zn 0.878 0.374 0.374
4 Zn 0.374 0.374 0.878
5 Mg 0.750 0.750 0.750
6 Os 0.000 0.000 0.000

Values from the calculation:
Symmetry: F-43m, No. 216
DFT formation energy in meV per atom: 92
Total energy in eV for the cell shown: -17.4


14.
Compound: MgZn2Os
Source: Alexandria
Functional: PBE-GGA
Structure: optimized geometry

abc: 4.822 4.822 4.822
angles: 132.85 132.85 68.89
Fractional coordinates of all 4 atoms:
1 Mg 0.250 0.750 0.500
2 Zn 0.500 0.500 0.000
3 Zn 0.000 0.000 0.000
4 Os 0.750 0.250 0.500

Values from the calculation:
Symmetry: I4/mmm, No. 139
DFT formation energy in meV per atom: 79
Total energy in eV for the cell shown: -15.1


15.
Compound: Mg2Zn2Os
Source: Alexandria
Functional: PBE-GGA
Structure: optimized geometry

abc: 6.638 6.638 3.781
angles: 90.00 90.00 90.00
Fractional coordinates of all 10 atoms:
1 Os 0.500 0.500 0.000
2 Os 0.000 0.000 0.000
3 Zn 0.633 0.133 0.000
4 Zn 0.367 0.867 0.000
5 Zn 0.867 0.633 0.000
6 Zn 0.133 0.367 0.000
7 Mg 0.679 0.821 0.500
8 Mg 0.321 0.179 0.500
9 Mg 0.821 0.321 0.500
10 Mg 0.179 0.679 0.500

Values from the calculation:
Symmetry: P4/mbm, No. 127
DFT formation energy in meV per atom: 210
Total energy in eV for the cell shown: -31.8


16.
Compound: MgZn2Os
Source: Alexandria
Functional: PBE-GGA
Structure: optimized geometry

abc: 2.782 2.782 9.171
angles: 90.00 90.00 117.03
Fractional coordinates of all 4 atoms:
1 Zn 0.000 0.000 0.513
2 Zn 0.000 0.000 0.987
3 Os 0.500 0.500 0.750
4 Mg 0.500 0.500 0.250

Values from the calculation:
Symmetry: Cmmm, No. 65
DFT formation energy in meV per atom: 255
Total energy in eV for the cell shown: -14.4


17.
Compound: MgZn2Os
Source: Alexandria
Functional: PBE-GGA
Structure: optimized geometry

abc: 2.765 2.765 8.811
angles: 90.00 90.00 113.31
Fractional coordinates of all 4 atoms:
1 Zn 0.500 0.500 0.242
2 Zn 0.000 0.000 0.996
3 Mg 0.000 0.000 0.506
4 Os 0.500 0.500 0.756

Values from the calculation:
Symmetry: Cmm2, No. 35
DFT formation energy in meV per atom: 209
Total energy in eV for the cell shown: -14.5


18.
Compound: MgZn2Os
Source: Alexandria
Functional: PBE-GGA
Structure: optimized geometry

abc: 3.857 3.857 9.549
angles: 78.35 78.35 90.00
Fractional coordinates of all 8 atoms:
1 Mg 0.250 0.750 0.500
2 Mg 0.500 0.500 0.000
3 Zn 0.083 0.625 0.250
4 Zn 0.667 0.125 0.250
5 Zn 0.875 0.917 0.750
6 Zn 0.375 0.333 0.750
7 Os 0.750 0.250 0.500
8 Os 0.000 0.000 0.000

Values from the calculation:
Symmetry: I-42d, No. 122
DFT formation energy in meV per atom: 461
Total energy in eV for the cell shown: -27.1


19.
Compound: MgZnOs2
Source: Alexandria
Functional: PBE-GGA
Structure: optimized geometry

abc: 4.406 4.406 4.406
angles: 121.91 121.91 86.73
Fractional coordinates of all 4 atoms:
1 Mg 0.750 0.250 0.500
2 Os 0.250 0.750 0.500
3 Os 0.000 0.000 0.000
4 Zn 0.500 0.500 0.000

Values from the calculation:
Symmetry: I-4m2, No. 119
DFT formation energy in meV per atom: 219
Total energy in eV for the cell shown: -24.5


20.
Compound: MgZn2Os
Source: Alexandria
Functional: PBE-GGA
Structure: optimized geometry

abc: 4.182 4.182 3.376
angles: 90.00 90.00 90.09
Fractional coordinates of all 4 atoms:
1 Mg 0.500 0.000 0.500
2 Zn 0.500 0.500 0.000
3 Zn 0.000 0.000 0.000
4 Os 0.000 0.500 0.500

Values from the calculation:
Symmetry: Cmmm, No. 65
DFT formation energy in meV per atom: 81
Total energy in eV for the cell shown: -15.0


21.
Compound: MgZnOs2
Source: Alexandria
Functional: PBE-GGA
Structure: optimized geometry

abc: 2.692 2.692 8.268
angles: 90.00 90.00 90.00
Fractional coordinates of all 4 atoms:
1 Os 0.000 0.000 0.491
2 Os 0.000 0.000 0.009
3 Zn 0.500 0.500 0.250
4 Mg 0.500 0.500 0.750

Values from the calculation:
Symmetry: P4/mmm, No. 123
DFT formation energy in meV per atom: 418
Total energy in eV for the cell shown: -23.7


22.
Compound: MgZnOs2
Source: Alexandria
Functional: PBE-GGA
Structure: optimized geometry

abc: 2.945 4.526 4.442
angles: 90.00 90.00 90.00
Fractional coordinates of all 4 atoms:
1 Os 0.000 0.000 0.000
2 Os 0.500 0.500 0.000
3 Zn 0.500 0.000 0.500
4 Mg 0.000 0.500 0.500

Values from the calculation:
Symmetry: Pmmm, No. 47
DFT formation energy in meV per atom: 264
Total energy in eV for the cell shown: -24.3


23.
Compound: Mg4ZnOs
Source: Alexandria
Functional: PBE-GGA
Structure: optimized geometry

abc: 5.354 5.354 5.354
angles: 60.00 60.00 60.00
Fractional coordinates of all 6 atoms:
1 Mg 0.376 0.873 0.376
2 Mg 0.376 0.376 0.376
3 Mg 0.873 0.376 0.376
4 Mg 0.376 0.376 0.873
5 Os 0.750 0.750 0.750
6 Zn 0.000 0.000 0.000

Values from the calculation:
Symmetry: F-43m, No. 216
DFT formation energy in meV per atom: 533
Total energy in eV for the cell shown: -15.7


24.
Compound: Mg2ZrOs
Source: Alexandria
Functional: PBE-GGA
Structure: optimized geometry

abc: 3.943 3.943 4.733
angles: 90.00 90.00 90.00
Fractional coordinates of all 4 atoms:
1 Mg 0.500 0.500 0.000
2 Mg 0.000 0.000 0.000
3 Os 0.500 0.000 0.500
4 Zr 0.000 0.500 0.500

Values from the calculation:
Relative energy among the computed polymorphs in meV per atom: 63.8
Symmetry: P4/mmm, No. 123
DFT formation energy in meV per atom: -34
Total energy in eV for the cell shown: -23.1


25.
Compound: MgZrOs2
Source: Alexandria
Functional: PBE-GGA
Structure: optimized geometry

abc: 5.479 5.479 4.535
angles: 65.59 65.59 33.24
Fractional coordinates of all 4 atoms:
1 Os 0.013 0.013 0.987
2 Os 0.736 0.736 0.764
3 Mg 0.264 0.264 0.236
4 Zr 0.487 0.487 0.513

Values from the calculation:
Symmetry: Imm2, No. 44
DFT formation energy in meV per atom: -49
Total energy in eV for the cell shown: -32.8


26.
Compound: Mg2ZrOs
Source: Alexandria
Functional: PBE-GGA
Structure: optimized geometry

abc: 5.540 5.540 2.764
angles: 90.00 90.00 119.70
Fractional coordinates of all 4 atoms:
1 Zr 0.000 0.500 0.500
2 Os 0.500 0.000 0.500
3 Mg 0.500 0.500 0.000
4 Mg 0.000 0.000 0.000

Values from the calculation:
Relative energy among the computed polymorphs in meV per atom: 286.0
Symmetry: Cmmm, No. 65
DFT formation energy in meV per atom: 188
Total energy in eV for the cell shown: -22.2


27.
Compound: Mg2ZrOs
Source: Alexandria
Functional: PBE-GGA
Structure: optimized geometry

abc: 4.650 4.650 4.650
angles: 60.00 60.00 60.00
Fractional coordinates of all 4 atoms:
1 Os 0.500 0.500 0.500
2 Mg 0.750 0.750 0.750
3 Mg 0.250 0.250 0.250
4 Zr 0.000 0.000 0.000

Values from the calculation:
Relative energy among the computed polymorphs in meV per atom: 337.6
Symmetry: Fm-3m, No. 225
DFT formation energy in meV per atom: 240
Total energy in eV for the cell shown: -22.0


28.
Compound: Mg3ZrOs
Source: Alexandria
Functional: PBE-GGA
Structure: optimized geometry

abc: 5.148 5.148 5.148
angles: 90.00 90.00 90.00
Fractional coordinates of all 5 atoms:
1 Os 0.500 0.500 0.500
2 Mg 0.000 0.500 0.000
3 Mg 0.500 0.000 0.000
4 Mg 0.000 0.000 0.500
5 Zr 0.000 0.000 0.000

Values from the calculation:
Relative energy among the computed polymorphs in meV per atom: 1586.6
Symmetry: Pm-3m, No. 221
DFT formation energy in meV per atom: 2309
Total energy in eV for the cell shown: -13.0


29.
Compound: MgZrOs2
Source: Alexandria
Functional: PBE-GGA
Structure: optimized geometry

abc: 5.240 5.240 5.240
angles: 144.48 126.05 66.27
Fractional coordinates of all 4 atoms:
1 Os 0.996 0.996 0.000
2 Os 0.504 0.504 0.000
3 Mg 0.250 0.750 0.500
4 Zr 0.750 0.250 0.500

Values from the calculation:
Symmetry: Immm, No. 71
DFT formation energy in meV per atom: 101
Total energy in eV for the cell shown: -32.2


30.
Compound: Mg2ZrOs
Source: Alexandria
Functional: PBE-GGA
Structure: optimized geometry

abc: 2.877 2.877 9.046
angles: 90.00 90.00 90.00
Fractional coordinates of all 4 atoms:
1 Mg 0.000 0.000 0.463
2 Mg 0.000 0.000 0.037
3 Zr 0.500 0.500 0.750
4 Os 0.500 0.500 0.250

Values from the calculation:
Relative energy among the computed polymorphs in meV per atom: 367.1
Symmetry: P4/mmm, No. 123
DFT formation energy in meV per atom: 269
Total energy in eV for the cell shown: -21.9